# 1
# CuRu2Cl

A geometry-optimized CuRu2Cl structure (GGA-PBE, Alexandria).

Geometry as extended XYZ:
```
4
Lattice="-1.534 1.192 -3.813 -2.585 -1.326 -3.141 -5.284 2.923 2.688" Properties=species:S:1:pos:R:3 pbc="T T T"
Ru -5.359 2.836 2.241
Ru -7.637 2.310 -3.300
Cu -2.270 0.473 -1.781
Cl -4.124 1.490 -0.872
```

Results
Distance to the lowest polymorph of the same formula in eV per atom: 0.209
Raw formation energy in eV/atom: 0.454
Space group: Cm, No. 8
Uncorrected energy in eV/atom: -5.67
Calculated density in g/cm3: 6.67


# 2
# SrTaBr

A geometry-optimized SrTaBr structure (GGA-PBE, Alexandria).

Geometry as extended XYZ:
```
3
Lattice="-5.631 -1.726 3.813 -5.953 -3.563 1.038 0.981 -2.715 1.687" Properties=species:S:1:pos:R:3 pbc="T T T"
Sr -3.199 -3.571 2.739
Br 0.698 -2.773 1.759
Ta -7.121 -4.375 3.727
```

Results
Distance to the lowest polymorph of the same formula in eV per atom: 0.940
Raw formation energy in eV/atom: 0.365
Space group: I4mm, No. 107
Uncorrected energy in eV/atom: -4.70
Calculated density in g/cm3: 7.84


The lowest raw formation energy belongs to which entry?
SrTaBr


uncorrected energy of number 2 (SrTaBr)?
-4.70 eV/atom


The lowest uncorrected energy belongs to which entry?
CuRu2Cl